No. 1
VASP calculation (PBE) on crystalline AlSbP2 at its relaxed geometry.

Lattice parameters (Å, degrees): 3.7598 4.5175 4.9652 74.90 90.00 90.00
Closest atoms and distances in Å follow each position.
Atoms (fractional coordinates):
P  0.0000  0.0396  0.9217  1 P 2.20
Sb  0.5000  0.2500  0.2500  4 P 2.81, 2 Al 2.89
P  0.0000  0.4604  0.5783  1 P 2.20
Al  0.5000  0.7500  0.7500  4 P 2.56

Values from the calculation:
Its formation energy without anion corrections is -47 meV per atom.


No. 2
VASP calculation (PBE) on crystalline MgCr3Ag at its relaxed geometry.

Lattice parameters (Å, degrees): 5.0149 5.0149 5.0149 90.00 90.00 90.00
Closest atoms and distances in Å follow each position.
Atoms (fractional coordinates):
Mg  0.5000  0.5000  0.5000  12 Cr 3.55
Cr  0.5000  0.0000  0.0000  2 Ag 2.51
Ag  0.0000  0.0000  0.0000  6 Cr 2.51
Cr  0.0000  0.0000  0.5000  2 Ag 2.51
Cr  0.0000  0.5000  0.0000  2 Ag 2.51

Values from the calculation:
The calculation puts the calculated formation energy at 665 kJ/mol of formula units.


| no. | total energy (eV/atom) |
| --- | --- |
| 1 | -4.718 |
| 2 | -5.286 |